Entry 1:
# YMg2Sn2 | Alexandria via LeMat-Bulk | PBE | relaxed
# N(E_F) ... 5.5 states/eV/cell
# Raw total energy ... -3.61 eV/atom
# Volume ... 27.4 Å³/atom
# ΔE to the lowest computed polymorph ... 0.319 eV per atom
# Energy of formation from the pure elements ... -0.08 eV per atom
data_YMg2Sn2
_chemical_formula_sum 'Y2 Mg4 Sn4'
_cell_length_a 4.9814
_cell_length_b 4.9814
_cell_length_c 12.7444
_cell_angle_alpha 90.00
_cell_angle_beta 90.00
_cell_angle_gamma 120.00
_space_group_name_H-M_alt 'P 63/m m c'
_space_group_IT_number 194
_space_group_name_Hall '-P 6c 2c'
loop_
_atom_site_label
_atom_site_fract_x
_atom_site_fract_y
_atom_site_fract_z
_atom_site_occupancy
Y1 0.0000 0.0000 0.2500 1
Mg1 0.0000 0.0000 0.0000 1
Mg2 0.3333 0.6667 0.2500 1
Sn1 0.3333 0.6667 0.6256 1

Entry 2:
# YMg2Sn2 | Alexandria via LeMat-Bulk | PBE | relaxed
# N(E_F) ... 4.4 states/eV/cell
# Raw total energy ... -3.80 eV/atom
# Volume ... 25.3 Å³/atom
# ΔE to the lowest computed polymorph ... 0.126 eV per atom
# Energy of formation from the pure elements ... -0.27 eV per atom
data_YMg2Sn2
_chemical_formula_sum 'Y2 Mg4 Sn4'
_cell_length_a 8.5081
_cell_length_b 8.5081
_cell_length_c 3.4994
_cell_angle_alpha 90.00
_cell_angle_beta 90.00
_cell_angle_gamma 90.00
_space_group_name_H-M_alt 'P 4/m b m'
_space_group_IT_number 127
_space_group_name_Hall '-P 4 2ab'
loop_
_atom_site_label
_atom_site_fract_x
_atom_site_fract_y
_atom_site_fract_z
_atom_site_occupancy
Y1 0.0000 0.0000 0.0000 1
Mg1 0.1420 0.3580 0.5000 1
Sn1 0.1556 0.6556 0.0000 1

Entry 3:
# YMg2Sn | Alexandria via LeMat-Bulk | PBE | relaxed
# N(E_F) ... 1.0 states/eV/cell
# Raw total energy ... -3.85 eV/atom
# Volume ... 24.1 Å³/atom
# Energy of formation from the pure elements ... -0.44 eV per atom
data_YMg2Sn
_chemical_formula_sum 'Y1 Mg2 Sn1'
_cell_length_a 4.5030
_cell_length_b 4.5030
_cell_length_c 4.7586
_cell_angle_alpha 90.00
_cell_angle_beta 90.00
_cell_angle_gamma 90.00
_space_group_name_H-M_alt 'P 4/m m m'
_space_group_IT_number 123
_space_group_name_Hall '-P 4 2'
loop_
_atom_site_label
_atom_site_fract_x
_atom_site_fract_y
_atom_site_fract_z
_atom_site_occupancy
Y1 0.0000 0.0000 0.0000 1
Mg1 0.0000 0.5000 0.5000 1
Sn1 0.5000 0.5000 0.0000 1

Entry 4:
# YMg2Sn2 | Alexandria via LeMat-Bulk | PBE | relaxed
# N(E_F) ... 5.3 states/eV/cell
# Raw total energy ... -3.80 eV/atom
# Volume ... 24.6 Å³/atom
# ΔE to the lowest computed polymorph ... 0.131 eV per atom
# Energy of formation from the pure elements ... -0.27 eV per atom
data_YMg2Sn2
_chemical_formula_sum 'Y2 Mg4 Sn4'
_cell_length_a 8.4596
_cell_length_b 8.4596
_cell_length_c 3.4426
_cell_angle_alpha 90.00
_cell_angle_beta 90.00
_cell_angle_gamma 90.00
_space_group_name_H-M_alt 'P 4/m b m'
_space_group_IT_number 127
_space_group_name_Hall '-P 4 2ab'
loop_
_atom_site_label
_atom_site_fract_x
_atom_site_fract_y
_atom_site_fract_z
_atom_site_occupancy
Y1 0.0000 0.0000 0.0000 1
Mg1 0.1214 0.3786 0.0000 1
Sn1 0.1769 0.6769 0.5000 1